# 1
Ce4N3O | GGA-PBE | optimized geometry

Properties
ΔE_f (raw): -180 kJ/mol of atoms
D(E_F): 11.383 states/eV/f.u.
volume: 15.91 Å³/atom

a = 5.0297 Å, b = 5.0297 Å, c = 5.0297 Å
α = 90.00°, β = 90.00°, γ = 90.00°
Fractional positions:
1 Ce 0.0000 0.0000 0.5000
2 Ce 0.0000 0.5000 0.0000
3 Ce 0.5000 0.5000 0.5000
4 Ce 0.5000 0.0000 0.0000
5 N 0.5000 0.5000 0.0000
6 N 0.0000 0.5000 0.5000
7 N 0.5000 0.0000 0.5000
8 O 0.0000 0.0000 0.0000

---

# 2
Ce3N2O | GGA-PBE | optimized geometry

Properties
ΔE_f (raw): -193 kJ/mol of atoms
D(E_F): 7.926 states/eV/f.u.
volume: 15.85 Å³/atom

a = 3.5539 Å, b = 5.0244 Å, c = 6.1499 Å
α = 114.11°, β = 106.79°, γ = 90.00°
Fractional positions:
1 N 0.1679 0.1679 0.8358
2 N 0.8321 0.8321 0.1642
3 Ce 0.1686 0.6686 0.8373
4 Ce 0.8314 0.3314 0.1627
5 Ce 0.5000 0.0000 0.5000
6 O 0.5000 0.5000 0.5000

---

# 3
CePaN2O | GGA-PBE | optimized geometry

Properties
ΔE_f (raw): -196 kJ/mol of atoms
D(E_F): 4.928 states/eV/f.u.
volume: 15.09 Å³/atom

a = 3.6351 Å, b = 3.6351 Å, c = 11.4204 Å
α = 90.00°, β = 90.00°, γ = 90.00°
Last column: magnetic moment on the atom in μB.
Fractional positions:
1 N 0.0000 0.5000 0.0849  -0.01
2 N 0.0000 0.5000 0.7141  -0.02
3 N 0.5000 0.0000 0.9151  -0.01
4 N 0.5000 0.0000 0.2859  -0.02
5 Ce 0.0000 0.5000 0.3790  0.49
6 Ce 0.5000 0.0000 0.6210  0.49
7 Pa 0.5000 0.0000 0.1108  0.04
8 Pa 0.0000 0.5000 0.8892  0.04
9 O 0.5000 0.5000 0.5000  -0.02
10 O 0.0000 0.0000 0.5000  -0.02

---

# 4
CePmNO | GGA-PBE | optimized geometry

Properties
ΔE_f (raw): -173 kJ/mol of atoms
D(E_F): 4.836 states/eV/f.u.
volume: 16.16 Å³/atom

a = 3.2893 Å, b = 3.2126 Å, c = 6.5345 Å
α = 104.23°, β = 104.58°, γ = 90.00°
Last column: magnetic moment on the atom in μB.
Fractional positions:
1 N 0.8263 0.3263 0.6527  -0.04
2 O 0.0815 0.0815 0.1631  0.00
3 Pm 0.6639 0.6639 0.3278  0.18
4 Ce 0.4074 0.9074 0.8147  0.86

---

# 5
CePuNO | GGA-PBE | optimized geometry

Properties
ΔE_f (raw): -196 kJ/mol of atoms
D(E_F): 8.371 states/eV/f.u.
volume: 15.55 Å³/atom

a = 3.5407 Å, b = 3.5407 Å, c = 4.9618 Å
α = 90.00°, β = 90.00°, γ = 90.00°
Last column: magnetic moment on the atom in μB.
Fractional positions:
1 Ce 0.5000 0.5000 0.0000  0.47
2 O 0.5000 0.5000 0.5000  -0.09
3 Pu 0.0000 0.0000 0.5000  5.11
4 N 0.0000 0.0000 0.0000  -0.10

---

# 6
CePuN2O | GGA-PBE | optimized geometry

Properties
ΔE_f (raw): -174 kJ/mol of atoms
D(E_F): 8.587 states/eV/f.u.
volume: 14.35 Å³/atom

a = 3.6291 Å, b = 3.6291 Å, c = 10.8968 Å
α = 90.00°, β = 90.00°, γ = 90.00°
Last column: magnetic moment on the atom in μB.
Fractional positions:
1 N 0.5000 0.0000 0.9106  -0.19
2 N 0.5000 0.0000 0.2851  -0.17
3 N 0.0000 0.5000 0.7149  -0.17
4 N 0.0000 0.5000 0.0894  -0.19
5 Pu 0.5000 0.0000 0.1068  3.87
6 Pu 0.0000 0.5000 0.8932  3.87
7 Ce 0.5000 0.0000 0.6276  0.42
8 Ce 0.0000 0.5000 0.3724  0.42
9 O 0.5000 0.5000 0.5000  -0.03
10 O 0.0000 0.0000 0.5000  -0.03

---

# 7
RbCeNO | GGA-PBE | optimized geometry

Properties
ΔE_f (raw): -163 kJ/mol of atoms
volume: 19.17 Å³/atom

a = 3.6270 Å, b = 3.6271 Å, c = 7.0504 Å
α = 90.02°, β = 104.93°, γ = 120.00°
Fractional positions:
1 Rb 0.9674 0.3819 0.3634
2 O 0.5241 0.1598 0.7000
3 N 0.0776 0.9368 0.0296
4 Ce 0.3087 0.5522 0.8767

---

# 8
Ce2SbNO | GGA-PBE | optimized geometry

Properties
ΔE_f (raw): -185 kJ/mol of atoms
D(E_F): 3.874 states/eV/f.u.
volume: 21.92 Å³/atom

a = 4.0219 Å, b = 6.5630 Å, c = 8.8878 Å
α = 100.45°, β = 90.00°, γ = 107.84°
Last column: magnetic moment on the atom in μB.
Fractional positions:
1 O 0.0560 0.1120 0.1745  -0.01
2 O 0.9440 0.8880 0.8255  -0.01
3 Ce 0.1329 0.2659 0.9368  0.14
4 Ce 0.6271 0.2542 0.2799  0.31
5 Ce 0.3729 0.7458 0.7201  0.31
6 Ce 0.8671 0.7341 0.0632  0.14
7 N 0.3208 0.6416 0.9448  -0.02
8 N 0.6792 0.3584 0.0552  -0.02
9 Sb 0.6481 0.2961 0.6470  -0.02
10 Sb 0.3519 0.7039 0.3530  -0.02

---

# 9
Ce2SeNO | GGA-PBE | optimized geometry

Properties
ΔE_f (raw): -222 kJ/mol of atoms
D(E_F): 8.162 states/eV/f.u.
volume: 19.73 Å³/atom

a = 3.9853 Å, b = 6.6780 Å, c = 8.0700 Å
α = 79.67°, β = 75.70°, γ = 72.64°
Last column: magnetic moment on the atom in μB.
Fractional positions:
1 O 0.0450 0.0958 0.8142  -0.02
2 O 0.9550 0.9042 0.1858  -0.02
3 N 0.3536 0.3632 0.9296  -0.04
4 N 0.6464 0.6368 0.0704  -0.04
5 Ce 0.4498 0.7860 0.3144  0.67
6 Ce 0.5502 0.2140 0.6856  0.67
7 Ce 0.1719 0.7276 0.9287  0.39
8 Ce 0.8281 0.2724 0.0713  0.39
9 Se 0.8238 0.7279 0.6246  -0.03
10 Se 0.1762 0.2721 0.3754  -0.03

---

# 10
Ce3Se2NO | GGA-PBE | optimized geometry

Properties
ΔE_f (raw): -210 kJ/mol of atoms
D(E_F): 14.375 states/eV/f.u.
volume: 21.83 Å³/atom

a = 12.4114 Å, b = 12.4114 Å, c = 9.3896 Å
α = 84.45°, β = 84.45°, γ = 18.57°
Last column: magnetic moment on the atom in μB.
Fractional positions:
1 Ce 0.1876 0.1876 0.0114  0.71
2 Ce 0.4620 0.4620 0.6791  0.73
3 Ce 0.0004 0.0004 0.9947  0.77
4 Ce 0.5390 0.5390 0.3203  0.85
5 Ce 0.2794 0.2794 0.6633  0.86
6 Ce 0.9077 0.9077 0.3535  0.94
7 Ce 0.8126 0.8126 0.9891  0.72
8 Ce 0.0901 0.0901 0.6466  0.84
9 Ce 0.7202 0.7202 0.3376  0.86
10 O 0.9987 0.9987 0.2457  -0.03
11 O 0.4477 0.4477 0.4301  -0.02
12 O 0.5525 0.5525 0.5625  -0.02
13 Se 0.6889 0.6889 0.6728  -0.03
14 Se 0.1326 0.1326 0.3269  -0.03
15 Se 0.4116 0.4116 0.0316  -0.03
16 Se 0.3105 0.3105 0.3294  -0.03
17 Se 0.8670 0.8670 0.6718  -0.03
18 Se 0.5891 0.5891 0.9765  -0.03
19 N 0.2763 0.2763 0.9003  -0.04
20 N 0.7242 0.7242 0.1006  -0.04
21 N 0.0019 0.0019 0.7561  -0.04

---

# 11
CeSiNO2 | GGA-PBE | optimized geometry

Properties
ΔE_f (raw): -220 kJ/mol of atoms
D(E_F): 5.094 states/eV/f.u.
volume: 14.06 Å³/atom

a = 7.0656 Å, b = 7.0656 Å, c = 9.7589 Å
α = 90.00°, β = 90.00°, γ = 120.00°
Last column: magnetic moment on the atom in μB.
Fractional positions:
1 O 0.0000 0.6307 0.1026  -0.01
2 O 0.3693 0.3693 0.1026  -0.01
3 O 0.0000 0.3693 0.6026  -0.01
4 O 0.0000 0.3693 0.8974  -0.01
5 O 0.3693 0.0000 0.8974  -0.01
6 O 0.6307 0.6307 0.8974  -0.01
7 O 0.6307 0.6307 0.6026  -0.01
8 O 0.3693 0.3693 0.3974  -0.01
9 O 0.6307 0.0000 0.3974  -0.01
10 O 0.3693 0.0000 0.6026  -0.01
11 O 0.6307 0.0000 0.1026  -0.01
12 O 0.0000 0.6307 0.3974  -0.01
13 Si 0.0000 0.2490 0.7500  0.00
14 Si 0.2490 0.0000 0.7500  0.00
15 Si 0.7510 0.7510 0.7500  0.00
16 Si 0.7510 0.0000 0.2500  0.00
17 Si 0.0000 0.7510 0.2500  0.00
18 Si 0.2490 0.2490 0.2500  0.00
19 Ce 0.6667 0.3333 0.0000  0.95
20 Ce 0.3333 0.6667 0.5000  0.95
21 Ce 0.6667 0.3333 0.5000  0.95
22 Ce 0.0000 0.0000 0.5000  1.00
23 Ce 0.3333 0.6667 0.0000  0.95
24 Ce 0.0000 0.0000 0.0000  1.00
25 N 0.2292 0.2292 0.7500  -0.01
26 N 0.7708 0.7708 0.2500  -0.01
27 N 0.7708 0.0000 0.7500  -0.01
28 N 0.0000 0.2292 0.2500  -0.01
29 N 0.2292 0.0000 0.2500  -0.01
30 N 0.0000 0.7708 0.7500  -0.01

---

# 12
SrCeNO | GGA-PBE | optimized geometry

Properties
ΔE_f (raw): -194 kJ/mol of atoms
D(E_F): 3.011 states/eV/f.u.
volume: 17.13 Å³/atom

a = 3.6353 Å, b = 3.6353 Å, c = 6.3455 Å
α = 73.35°, β = 73.35°, γ = 60.00°
Last column: magnetic moment on the atom in μB.
Fractional positions:
1 O 0.7429 0.7429 0.7713  -0.02
2 N 0.2621 0.2621 0.2138  -0.03
3 Sr 0.4989 0.4989 0.5034  0.03
4 Ce 0.9962 0.9962 0.0115  0.63

---

# 13
Ce2TeNO | GGA-PBE | optimized geometry

Properties
ΔE_f (raw): -215 kJ/mol of atoms
D(E_F): 8.826 states/eV/f.u.
volume: 20.87 Å³/atom

a = 4.0301 Å, b = 4.0301 Å, c = 7.0279 Å
α = 106.66°, β = 106.66°, γ = 90.00°
Last column: magnetic moment on the atom in μB.
Fractional positions:
1 Ce 0.6612 0.6612 0.3225  0.53
2 Ce 0.3388 0.3388 0.6775  0.53
3 Te 0.0000 0.0000 0.0000  -0.03
4 N 0.7500 0.2500 0.5000  -0.04
5 O 0.2500 0.7500 0.5000  -0.02

---

# 14
Ce2ZnN2O2 | GGA-PBE | optimized geometry

Properties
ΔE_f (raw): -169 kJ/mol of atoms
volume: 16.62 Å³/atom

a = 3.8162 Å, b = 3.8162 Å, c = 9.2262 Å
α = 90.00°, β = 90.00°, γ = 120.00°
Fractional positions:
1 O 0.0000 0.0000 0.1922
2 O 0.0000 0.0000 0.8078
3 N 0.3333 0.6667 0.4084
4 N 0.6667 0.3333 0.5916
5 Zn 0.0000 0.0000 0.0000
6 Ce 0.6667 0.3333 0.3411
7 Ce 0.3333 0.6667 0.6589

---

# 15
Ce3OsN2 | GGA-PBE | optimized geometry

Properties
ΔE_f (raw): -81 kJ/mol of atoms
D(E_F): 8.150 states/eV/f.u.
volume: 18.52 Å³/atom

a = 5.3068 Å, b = 7.2023 Å, c = 6.6391 Å
α = 105.73°, β = 113.56°, γ = 90.00°
Last column: magnetic moment on the atom in μB.
Fractional positions:
1 N 0.3260 0.4130 0.6521  -0.01
2 N 0.6740 0.5870 0.3479  -0.01
3 N 0.6739 0.0870 0.3479  -0.01
4 N 0.3261 0.9130 0.6521  -0.01
5 Os 0.0000 0.2500 0.0000  -0.03
6 Os 0.0000 0.7500 0.0000  -0.03
7 Ce 0.5000 0.2500 0.0000  0.24
8 Ce 0.5000 0.7500 0.0000  0.24
9 Ce 0.8131 0.9066 0.6262  0.12
10 Ce 0.1869 0.0934 0.3738  0.12
11 Ce 0.1869 0.5934 0.3738  0.12
12 Ce 0.8131 0.4066 0.6262  0.12

---

# 16
Ce3OsN3 | GGA-PBE | optimized geometry

Properties
ΔE_f (raw): -70 kJ/mol of atoms
D(E_F): 3.433 states/eV/f.u.
volume: 19.49 Å³/atom

a = 6.7072 Å, b = 6.7072 Å, c = 8.0024 Å
α = 65.22°, β = 65.22°, γ = 60.00°
Last column: magnetic moment on the atom in μB.
Fractional positions:
1 Ce 0.5498 0.9074 0.2952  -0.02
2 Ce 0.4502 0.0926 0.7048  -0.02
3 Ce 0.9074 0.2476 0.2952  -0.02
4 Ce 0.7524 0.4502 0.7048  -0.02
5 Ce 0.0926 0.7524 0.7048  -0.02
6 Ce 0.2476 0.5498 0.2952  -0.02
7 Os 0.3314 0.3314 0.0059  0.86
8 Os 0.6686 0.6686 0.9941  0.86
9 N 0.8052 0.1346 0.6276  0.03
10 N 0.8654 0.5674 0.3724  0.03
11 N 0.1346 0.4326 0.6276  0.03
12 N 0.4326 0.8052 0.6276  0.03
13 N 0.5674 0.1948 0.3724  0.03
14 N 0.1948 0.8654 0.3724  0.03

---

# 17
Ce6Os2N | GGA-PBE | optimized geometry

Properties
ΔE_f (raw): -41 kJ/mol of atoms
D(E_F): 22.099 states/eV/f.u.
volume: 23.90 Å³/atom

a = 6.2663 Å, b = 7.1069 Å, c = 9.6606 Å
α = 90.00°, β = 88.78°, γ = 90.00°
Last column: magnetic moment on the atom in μB.
Fractional positions:
1 Ce 0.3427 0.8141 0.9389  0.44
2 Ce 0.1573 0.3141 0.5611  0.44
3 Ce 0.8679 0.9568 0.7425  0.39
4 Ce 0.6718 0.1636 0.4419  0.33
5 Ce 0.1718 0.3364 0.9419  0.33
6 Ce 0.6573 0.1859 0.0611  0.44
7 Ce 0.3282 0.8364 0.5581  0.33
8 Ce 0.6321 0.4568 0.7575  0.39
9 Ce 0.3679 0.5432 0.2425  0.39
10 Ce 0.1321 0.0432 0.2575  0.39
11 Ce 0.8282 0.6636 0.0581  0.33
12 Ce 0.8427 0.6859 0.4389  0.44
13 Os 0.0603 0.6169 0.7506  -0.05
14 Os 0.9397 0.3831 0.2494  -0.05
15 Os 0.5603 0.8831 0.2506  -0.05
16 Os 0.4397 0.1169 0.7494  -0.05
17 N 0.5000 0.5000 0.0000  -0.02
18 N 0.0000 0.0000 0.5000  -0.02

---

# 18
CeOsN | GGA-PBE | optimized geometry

Properties
ΔE_f (raw): -61 kJ/mol of atoms
D(E_F): 3.556 states/eV/f.u.
volume: 15.53 Å³/atom

a = 3.4578 Å, b = 3.4578 Å, c = 7.7956 Å
α = 90.00°, β = 90.00°, γ = 90.00°
Last column: magnetic moment on the atom in μB.
Fractional positions:
1 Os 0.0000 0.5000 0.5781  0.30
2 Os 0.5000 0.0000 0.4219  0.30
3 N 0.0000 0.5000 0.8477  -0.01
4 N 0.5000 0.0000 0.1523  -0.01
5 Ce 0.5000 0.0000 0.8332  0.05
6 Ce 0.0000 0.5000 0.1668  0.05

---

# 19
Ce2OsN | GGA-PBE | optimized geometry

Properties
ΔE_f (raw): -54 kJ/mol of atoms
D(E_F): 2.817 states/eV/f.u.
volume: 19.47 Å³/atom

a = 3.7120 Å, b = 3.7120 Å, c = 6.8682 Å
α = 74.32°, β = 74.32°, γ = 60.00°
Fractional positions:
1 Os 0.0000 0.0000 0.0000
2 N 0.5000 0.5000 0.5000
3 Ce 0.7599 0.7599 0.7202
4 Ce 0.2401 0.2401 0.2798

---

# 20
Ce2OsN4 | GGA-PBE | optimized geometry

Properties
ΔE_f (raw): -33 kJ/mol of atoms
D(E_F): 5.160 states/eV/f.u.
volume: 15.44 Å³/atom

a = 3.5708 Å, b = 3.5708 Å, c = 8.8430 Å
α = 101.65°, β = 101.65°, γ = 90.00°
Fractional positions:
1 N 0.2500 0.7500 0.5000
2 N 0.1071 0.1071 0.2142
3 N 0.8929 0.8929 0.7858
4 N 0.7500 0.2500 0.5000
5 Os 0.0000 0.0000 0.0000
6 Ce 0.3330 0.3330 0.6661
7 Ce 0.6670 0.6670 0.3339